Computed, not measured: a relaxed TlCrAsSe2 crystal at the PBE level of DFT.

**E_form (uncorrected)**: 0.059 eV per atom

abc: 4.9994 4.9994 4.7694
angles: 90.00 90.00 90.00
Space group P4/mmm (No. 123)
One atom of each set of equivalent atoms:
Tl (0.0000, 0.0000, 0.0000)
Cr (0.5000, 0.5000, 0.5000)
As (0.5000, 0.5000, 0.0000)
Se (0.0000, 0.5000, 0.5000)